# RbLi2CrO4 GGA+U relaxed
data_RbLi2CrO4
_space_group_name_H-M_alt 'I -4 2 m'
_space_group_IT_number 121
_space_group_name_Hall 'I -4 2'
_cell_length_a 5.4404
_cell_length_b 5.4404
_cell_length_c 7.4536
_cell_angle_alpha 90.00
_cell_angle_beta 90.00
_cell_angle_gamma 90.00
loop_
_atom_site_label
_atom_site_fract_x
_atom_site_fract_y
_atom_site_fract_z
Rb1 0.0000 0.0000 0.0000
Li1 0.0000 0.5000 0.2500
Cr1 0.0000 0.0000 0.5000
O1 0.1779 0.1779 0.6430
# * total moment: 1.00 μB/f.u.
# * raw total energy: -5.73 eV/atom
# * crystal system: tetragonal
# * calculated volume: 220.6 Å³ per cell